## Tm3Ge3Os2 (GGA-PBE)

Data for Tm3Ge3Os2 after structural relaxation.

Cell: 4.264 5.760 13.754 Å, 90.00 90.00 111.73°
Fractional positions:
Tm: 0.924 0.847 0.386
Tm: 0.076 0.153 0.886
Tm: 0.924 0.847 0.114
Tm: 0.076 0.153 0.614
Tm: 0.649 0.297 0.250
Tm: 0.351 0.703 0.750
Ge: 0.614 0.228 0.460
Ge: 0.386 0.772 0.960
Ge: 0.614 0.228 0.040
Ge: 0.386 0.772 0.540
Ge: 0.338 0.676 0.250
Ge: 0.662 0.324 0.750
Os: 0.787 0.575 0.916
Os: 0.213 0.425 0.416
Os: 0.787 0.575 0.584
Os: 0.213 0.425 0.084

Computed properties:
**Space-group type**: Cmcm, No. 63
**Energy relative to the elements**: -0.66 eV/atom